Below is LiGa3Rh4 after structural relaxation, with properties calculated at the PBE level.

abc: 4.255 4.255 11.982
angles: 90.00 90.00 90.00
Space group I4/mmm (No. 139)
Symmetry-distinct sites (fractional):
1 Li 0.000 0.000 0.000 [2 per cell]
2 Ga 0.000 0.000 0.245 [4 per cell]
3 Ga 0.000 0.000 0.500 [2 per cell]
4 Rh 0.000 0.500 0.126 [8 per cell]

- Density of states at the Fermi level: 5.7 states/eV per cell
- DFT formation energy: -0.686 eV per atom
- Total magnetization: 0.00 μB/cell